Density functional theory data (PBE) for a relaxed Rb4Ag2BiN crystal.

Cell and atoms, written as extended XYZ:
```
16
Lattice="7.217 0.000 0.000 0.000 10.897 0.000 0.000 0.000 7.061" Properties=species:S:1:pos:R:3 pbc="T T T"
Rb 0.000 1.793 0.000
Rb 0.000 3.656 3.531
Rb 0.000 7.241 3.531
Rb 0.000 9.104 0.000
Rb 3.609 1.806 1.872
Rb 3.609 3.642 5.402
Rb 3.609 7.255 5.402
Rb 3.609 9.091 1.872
Ag 1.439 0.000 3.821
Ag 1.439 5.449 0.291
Ag 5.778 0.000 3.821
Ag 5.778 5.449 0.291
Bi 3.609 0.000 5.637
Bi 3.609 5.449 2.106
N 0.000 0.000 2.296
N 0.000 5.449 5.826
```

=====

Density functional theory data (PBE) for a relaxed LiCoTcAs crystal.

Cell and atoms, written as extended XYZ:
```
16
Lattice="5.792 0.000 0.000 0.000 5.792 0.000 0.000 0.000 5.792" Properties=species:S:1:pos:R:3 pbc="T T T"
Li 0.000 0.000 0.000
Li 0.000 2.896 2.896
Li 2.896 0.000 2.896
Li 2.896 2.896 0.000
Co 1.448 1.448 4.344
Co 1.448 4.344 1.448
Co 4.344 1.448 1.448
Co 4.344 4.344 4.344
Tc 1.448 1.448 1.448
Tc 1.448 4.344 4.344
Tc 4.344 1.448 4.344
Tc 4.344 4.344 1.448
As 0.000 0.000 2.896
As 0.000 2.896 0.000
As 2.896 0.000 0.000
As 2.896 2.896 2.896
```

=====

| no. | E_tot (eV/atom) |
| --- | --- |
| 1 | -2.708 |
| 2 | -6.060 |